Density functional theory data (PBE with a Hubbard U) for an optimized crystal structure of La2WO6.

N(E_F): 0.0 states/eV/f.u.
total moment: 0.000 μB/f.u.
energy: -8.19 eV/atom

a = 5.522 Å, b = 9.527 Å, c = 10.455 Å
α = 90.00°, β = 90.00°, γ = 90.00°
Element x y z (fractional)
La (0.024, 0.104, 0.459)
La (0.030, 0.219, 0.865)
La (0.470, 0.781, 0.365)
La (0.476, 0.896, 0.959)
La (0.524, 0.396, 0.541)
La (0.530, 0.281, 0.135)
La (0.970, 0.719, 0.635)
La (0.976, 0.604, 0.041)
W (0.040, 0.497, 0.355)
W (0.460, 0.503, 0.855)
W (0.540, 0.003, 0.645)
W (0.960, 0.997, 0.145)
O (0.075, 0.850, 0.027)
O (0.170, 0.951, 0.284)
O (0.180, 0.637, 0.244)
O (0.197, 0.634, 0.823)
O (0.220, 0.112, 0.064)
O (0.247, 0.587, 0.491)
O (0.253, 0.413, 0.991)
O (0.280, 0.888, 0.564)
O (0.303, 0.366, 0.323)
O (0.320, 0.363, 0.744)
O (0.330, 0.049, 0.784)
O (0.425, 0.150, 0.527)
O (0.575, 0.650, 0.973)
O (0.670, 0.549, 0.716)
O (0.680, 0.863, 0.756)
O (0.697, 0.866, 0.177)
O (0.720, 0.388, 0.936)
O (0.747, 0.913, 0.509)
O (0.753, 0.087, 0.009)
O (0.780, 0.612, 0.436)
O (0.803, 0.134, 0.677)
O (0.820, 0.137, 0.256)
O (0.830, 0.451, 0.216)
O (0.925, 0.350, 0.473)